1.
Density functional theory data (PBE-GGA) for a geometry-optimized RePt structure.

Cell: 5.190 5.190 5.190 Å, 90.00 90.00 90.00°
Space group Fm-3m (No. 225)
Unique sites:
Re: 0.000 0.000 0.000
Pt: 0.000 0.000 0.500

Total magnetization = 1.27 μB/f.u.
Relative energy among the computed polymorphs = 1255 meV per atom

2.
Density functional theory data (PBE-GGA) for a geometry-optimized RePt structure.

Cell: 2.7734 2.7734 4.5023 Å, 90.00 90.00 120.00°
Space group P-6m2 (No. 187)
Unique sites:
Re: 0.0000 0.0000 0.0000
Pt: 0.3333 0.6667 0.5000

Total magnetization = 0.00 μB/f.u.
Relative energy among the computed polymorphs = 50 meV per atom

3.
Density functional theory data (PBE-GGA) for a geometry-optimized RePt structure.

Cell: 5.614 5.614 5.614 Å, 90.00 90.00 90.00°
Space group F-43m (No. 216)
Unique sites:
Re: 0.000 0.000 0.000
Pt: 0.250 0.250 0.250

Total magnetization = 0.00 μB/f.u.
Relative energy among the computed polymorphs = 1226 meV per atom

4.
Density functional theory data (PBE-GGA) for a geometry-optimized RePt2 structure.

Cell: 10.896 10.896 10.896 Å, 90.00 90.00 90.00°
Space group Fd-3m (No. 227, origin choice 2)
Unique sites:
Re: 0.125 0.125 0.125
Pt: 0.000 0.000 0.000

Total magnetization = 0.01 μB/f.u.
Relative energy among the computed polymorphs = 1765 meV per atom

5.
Density functional theory data (PBE-GGA) for a geometry-optimized Re3Pt structure.

Cell: 2.7761 2.7761 8.8956 Å, 90.00 90.00 120.00°
Space group P-6m2 (No. 187)
Unique sites:
Re: 0.0000 0.0000 0.0000
Re: 0.6667 0.3333 0.2467
Pt: 0.0000 0.0000 0.5000

Total magnetization = 0.00 μB/f.u.
Final energy = -43.49 eV/cell

6.
Density functional theory data (PBE-GGA) for a geometry-optimized ReSbPt2 structure.

Cell: 6.453 6.453 6.453 Å, 90.00 90.00 90.00°
Space group F-43m (No. 216)
Unique sites:
Re: 0.000 0.000 0.000
Sb: 0.250 0.250 0.750
Pt: 0.000 0.000 0.500
Pt: 0.250 0.250 0.250

Total magnetization = 0.03 μB/f.u.
Final energy = -110.11 eV/cell

7.
Density functional theory data (PBE-GGA) for a geometry-optimized ScRe2Pt structure.

Cell: 6.342 6.342 6.342 Å, 90.00 90.00 90.00°
Space group F-43m (No. 216)
Unique sites:
Sc: 0.000 0.000 0.000
Re: 0.000 0.000 0.500
Re: 0.250 0.250 0.250
Pt: 0.250 0.250 0.750

Total magnetization = 0.04 μB/f.u.
Final energy = -150.62 eV/cell

8.
Density functional theory data (PBE-GGA) for a geometry-optimized SmRePt structure.

Cell: 6.559 6.559 6.559 Å, 90.00 90.00 90.00°
Space group F-43m (No. 216)
Unique sites:
Sm: 0.000 0.000 0.000
Re: 0.250 0.250 0.250
Pt: 0.250 0.250 0.750

Total magnetization = 2.62 μB/f.u.
Relative energy among the computed polymorphs = 661 meV per atom

9.
Density functional theory data (PBE-GGA) for a geometry-optimized SmRePt structure.

Cell: 6.513 6.513 6.513 Å, 90.00 90.00 90.00°
Space group F-43m (No. 216)
Unique sites:
Sm: 0.000 0.000 0.000
Re: 0.000 0.000 0.500
Pt: 0.250 0.250 0.750

Total magnetization = 2.10 μB/f.u.
Relative energy among the computed polymorphs = 0 meV per atom

10.
Density functional theory data (PBE-GGA) for a geometry-optimized Re3Sn2Pt2 structure.

Cell: 4.3772 4.3772 15.9988 Å, 90.00 90.00 120.00°
Space group P6_3/mmc (No. 194)
Unique sites:
Re: 0.0000 0.0000 0.1738
Re: 0.3333 0.6667 0.2500
Sn: 0.3333 0.6667 0.5757
Pt: 0.0000 0.0000 0.0000
Pt: 0.3333 0.6667 0.7500

Total magnetization = 0.00 μB/f.u.
Final energy = -112.19 eV/cell

11.
Density functional theory data (PBE-GGA) for a geometry-optimized ReSnPt structure.

Cell: 6.240 6.240 6.240 Å, 90.00 90.00 90.00°
Space group F-43m (No. 216)
Unique sites:
Re: 0.000 0.000 0.000
Sn: 0.250 0.250 0.250
Pt: 0.250 0.250 0.750

Total magnetization = 1.24 μB/f.u.
Relative energy among the computed polymorphs = 0 meV per atom

12.
Density functional theory data (PBE-GGA) for a geometry-optimized TaRePt structure.

Cell: 6.113 6.113 6.113 Å, 90.00 90.00 90.00°
Space group F-43m (No. 216)
Unique sites:
Ta: 0.000 0.000 0.000
Re: 0.250 0.250 0.750
Pt: 0.000 0.000 0.500

Total magnetization = 0.02 μB/f.u.
Relative energy among the computed polymorphs = 49 meV per atom

13.
Density functional theory data (PBE-GGA) for a geometry-optimized ThRePt structure.

Cell: 6.493 6.493 6.493 Å, 90.00 90.00 90.00°
Space group F-43m (No. 216)
Unique sites:
Th: 0.000 0.000 0.000
Re: 0.250 0.250 0.250
Pt: 0.000 0.000 0.500

Total magnetization = 0.13 μB/f.u.
Relative energy among the computed polymorphs = 0 meV per atom

14.
Density functional theory data (PBE-GGA) for a geometry-optimized Tl4RePt2 structure.

Cell: 8.110 11.011 3.647 Å, 90.00 90.00 90.00°
Space group Cmmm (No. 65)
Unique sites:
Tl: 0.000 0.238 0.000
Tl: 0.222 0.000 0.500
Re: 0.000 0.500 0.000
Pt: 0.250 0.250 0.500

Total magnetization = 2.30 μB/f.u.
Final energy = -58.05 eV/cell

15.
Density functional theory data (PBE-GGA) for a geometry-optimized TmRePt structure.

Cell: 6.392 6.392 6.392 Å, 90.00 90.00 90.00°
Space group F-43m (No. 216)
Unique sites:
Tm: 0.000 0.000 0.000
Re: 0.250 0.250 0.250
Pt: 0.250 0.250 0.750

Total magnetization = 2.47 μB/f.u.
Final energy = -81.31 eV/cell

16.
Density functional theory data (PBE-GGA) for a geometry-optimized URePt structure.

Cell: 6.365 6.365 6.365 Å, 90.00 90.00 90.00°
Space group F-43m (No. 216)
Unique sites:
U: 0.000 0.000 0.000
Re: 0.250 0.250 0.250
Pt: 0.250 0.250 0.750

Total magnetization = 0.20 μB/f.u.
Relative energy among the computed polymorphs = 118 meV per atom

17.
Density functional theory data (PBE-GGA) for a geometry-optimized URePt structure.

Cell: 6.307 6.307 6.307 Å, 90.00 90.00 90.00°
Space group F-43m (No. 216)
Unique sites:
U: 0.000 0.000 0.000
Re: 0.250 0.250 0.250
Pt: 0.000 0.000 0.500

Total magnetization = 0.91 μB/f.u.
Relative energy among the computed polymorphs = 0 meV per atom

18.
Density functional theory data (PBE-GGA) for a geometry-optimized RePt6W structure.

Cell: 5.5648 5.5648 4.5887 Å, 90.00 90.00 120.00°
Space group P-6m2 (No. 187)
Unique sites:
Re: 0.0000 0.0000 0.0000
Pt: 0.0091 0.5046 0.0000
Pt: 0.3213 0.1607 0.5000
W: 0.3333 0.6667 0.5000

Total magnetization = 0.00 μB/f.u.
Final energy = -62.41 eV/cell

19.
Density functional theory data (PBE-GGA) for a geometry-optimized YRePt2 structure.

Cell: 6.566 6.566 6.566 Å, 90.00 90.00 90.00°
Space group F-43m (No. 216)
Unique sites:
Y: 0.000 0.000 0.000
Re: 0.250 0.250 0.750
Pt: 0.000 0.000 0.500
Pt: 0.250 0.250 0.250

Total magnetization = 2.00 μB/f.u.
Final energy = -123.51 eV/cell

20.
Density functional theory data (PBE-GGA) for a geometry-optimized ZrRe2Pt structure.

Cell: 6.431 6.431 6.431 Å, 90.00 90.00 90.00°
Space group F-43m (No. 216)
Unique sites:
Zr: 0.000 0.000 0.000
Re: 0.000 0.000 0.500
Re: 0.250 0.250 0.250
Pt: 0.250 0.250 0.750

Total magnetization = 0.00 μB/f.u.
Final energy = -158.06 eV/cell